A plane-wave DFT calculation with GGA-PBE was carried out for a relaxed Li2VSN crystal.

Properties
ΔE_f (raw) = 1.04 eV/atom

The structure in CIF format:
```
data_Li2VSN
_chemical_formula_sum 'Li2 V1 S1 N1'
_cell_length_a 5.325
_cell_length_b 5.325
_cell_length_c 4.357
_cell_angle_alpha 90.00
_cell_angle_beta 90.00
_cell_angle_gamma 90.00
_symmetry_space_group_name_H-M 'P 4/m m m'
_symmetry_Int_Tables_number 123
_symmetry_space_group_name_Hall '-P 4 2'
loop_
_atom_site_label
_atom_site_type_symbol
_atom_site_fract_x
_atom_site_fract_y
_atom_site_fract_z
Li1 Li 0.000 0.500 0.000
V1 V 0.000 0.000 0.000
S1 S 0.000 0.000 0.500
N1 N 0.500 0.500 0.500
```



A plane-wave DFT calculation with GGA-PBE was carried out for a relaxed Na2SiS3 crystal.

Properties
ΔE_f (raw) = -0.97 eV/atom

The structure in CIF format:
```
data_Na2SiS3
_chemical_formula_sum 'Na16 Si8 S24'
_cell_length_a 6.445
_cell_length_b 12.637
_cell_length_c 13.532
_cell_angle_alpha 90.00
_cell_angle_beta 90.01
_cell_angle_gamma 90.00
_symmetry_space_group_name_H-M 'C 1 2/c 1'
_symmetry_Int_Tables_number 15
_symmetry_space_group_name_Hall '-C 2yc'
loop_
_atom_site_label
_atom_site_type_symbol
_atom_site_fract_x
_atom_site_fract_y
_atom_site_fract_z
Na1 Na 0.243 0.212 0.148
Na2 Na 0.250 0.107 0.563
Si1 Si 0.250 0.001 0.337
S1 S 0.000 0.073 0.750
S2 S 0.000 0.428 0.250
S3 S 0.249 0.164 0.351
S4 S 0.249 0.406 0.035
```



A plane-wave DFT calculation with GGA-PBE was carried out for a relaxed Ac6HPt2I3 crystal.

The structure in CIF format:
```
data_Ac6HPt2I3
_chemical_formula_sum 'Ac12 H2 Pt4 I6'
_cell_length_a 7.642
_cell_length_b 13.238
_cell_length_c 8.954
_cell_angle_alpha 90.00
_cell_angle_beta 106.59
_cell_angle_gamma 90.00
_symmetry_space_group_name_H-M 'C 1 2/m 1'
_symmetry_Int_Tables_number 12
_symmetry_space_group_name_Hall '-C 2y'
loop_
_atom_site_label
_atom_site_type_symbol
_atom_site_fract_x
_atom_site_fract_y
_atom_site_fract_z
Ac1 Ac 0.226 0.000 0.187
Ac2 Ac 0.231 0.332 0.188
H1 H 0.000 0.500 0.000
Pt1 Pt 0.000 0.167 0.000
I1 I 0.000 0.000 0.500
I2 I 0.000 0.331 0.500
```



A plane-wave DFT calculation with GGA-PBE was carried out for a relaxed BP2I8 crystal.

Properties
ΔE_f (raw) = 0.20 eV/atom

The structure in CIF format:
```
data_BP2I8
_chemical_formula_sum 'B2 P4 I16'
_cell_length_a 12.489
_cell_length_b 9.010
_cell_length_c 10.308
_cell_angle_alpha 90.00
_cell_angle_beta 96.15
_cell_angle_gamma 90.00
_symmetry_space_group_name_H-M 'C 1 2/m 1'
_symmetry_Int_Tables_number 12
_symmetry_space_group_name_Hall '-C 2y'
loop_
_atom_site_label
_atom_site_type_symbol
_atom_site_fract_x
_atom_site_fract_y
_atom_site_fract_z
B1 B 0.000 0.000 0.000
P1 P 0.176 0.000 0.815
I1 I 0.116 0.000 0.153
I2 I 0.122 0.500 0.088
I3 I 0.147 0.217 0.665
```



Number 1: mass density 1490 kg/m3, E_tot -20.18 eV/cell. Number 2: mass density 2052 kg/m3, E_tot -210.00 eV/cell. Number 3: mass density 8163 kg/m3, E_tot -112.64 eV/cell. Number 4: mass density 3133 kg/m3, E_tot -55.35 eV/cell.